(1)
CsSr2TcB, relaxed, DFT GGA-PBE; crystal system = tetragonal; VASP energy = -2.094 eV/atom; total magnetic moment = 3.07 Bohr magnetons per cell
1.0
6.2984 0.0000 0.0000
0.0000 6.2984 0.0000
0.0000 0.0000 4.6987
Cs Sr Tc B
1 2 1 1
Cartesian
0.0000 0.0000 0.0000
0.0000 3.1492 0.0000
3.1492 0.0000 0.0000
3.1492 3.1492 2.3493
0.0000 0.0000 2.3493

---

(2)
Zr2SiSe2, relaxed, DFT GGA-PBE; excess energy over the best structure of this formula in the dataset = 4.02 eV/f.u.; crystal system = tetragonal; energy relative to the elements, uncorrected = 1.18 eV per formula unit; total magnetic moment = 0.00 Bohr magnetons per cell
1.0
2.8916 0.0000 0.0000
0.0000 2.8916 0.0000
0.0000 0.0000 14.9011
Zr Si Se
2 1 2
Cartesian
0.0000 0.0000 2.6988
0.0000 0.0000 12.2023
0.0000 0.0000 0.0000
0.0000 0.0000 5.3740
0.0000 0.0000 9.5271

---

(3)
TmZr2Sc, relaxed, DFT GGA-PBE; excess energy over the best structure of this formula in the dataset = 0.00 eV/f.u.; crystal system = tetragonal; total magnetic moment = 0.00 Bohr magnetons per cell
1.0
3.2640 0.0000 0.0000
0.0000 3.2640 0.0000
0.0000 0.0000 9.3567
Tm Zr Sc
1 2 1
Cartesian
0.0000 0.0000 0.0000
0.0000 0.0000 4.7801
1.6320 1.6320 7.0132
1.6320 1.6320 2.5980

---

(4)
NaZn2Ga, relaxed, DFT GGA-PBE; crystal system = tetragonal; VASP energy = -1.563 eV/atom; total magnetic moment = 0.00 Bohr magnetons per cell
1.0
-2.3326 2.3326 8.8409
2.3326 -2.3326 8.8409
2.3326 2.3326 -8.8409
Na Zn Ga
2 4 2
Cartesian
0.0000 0.0000 0.0000
0.0000 2.3326 4.4205
1.1663 -0.5283 6.6307
1.8042 1.1663 2.2102
1.1663 2.8609 -2.2102
0.5283 1.1663 11.0511
2.3326 0.0000 4.4205
0.0000 0.0000 8.8409